[1]
## KZr2Fe (PBE)

Data for a relaxed structure of KZr2Fe.

Cell lengths 5.102, 5.102, 5.102 Å; angles 60.00, 60.00, 60.00 degrees
Atoms (fractional coordinates):
Fe 0.500 0.500 0.500
K 0.750 0.750 0.750
Zr 0.000 0.000 0.000
Zr 0.250 0.250 0.250

## Properties
* electronic total energy: -5.49 eV/atom
* DFT formation energy: 1.1712 eV per atom
* E above lowest polymorph: 861 meV per atom

---

[2]
## ZrCdCoS2 (PBE)

Data for a relaxed structure of ZrCdCoS2.

Cell lengths 4.956, 4.931, 4.956 Å; angles 90.00, 90.00, 90.00 degrees
Atoms (fractional coordinates):
S 0.000 0.000 0.500
S 0.500 0.000 0.000
Co 0.000 0.500 0.000
Zr 0.000 0.000 0.000
Cd 0.500 0.500 0.500

## Properties
* electronic total energy: -4.80 eV/atom

---

[3]
## Ga12Pb5Au3 (PBE)

Data for a relaxed structure of Ga12Pb5Au3.

Cell lengths 13.881, 13.881, 13.881 Å; angles 109.47, 109.47, 109.47 degrees
Atoms (fractional coordinates):
Au 0.750 0.375 0.125
Au 0.875 0.750 0.125
Au 0.375 0.750 0.625
Au 0.250 0.125 0.375
Au 0.875 0.125 0.250
Au 0.375 0.625 0.250
Au 0.625 0.375 0.750
Au 0.125 0.875 0.750
Au 0.750 0.875 0.625
Au 0.625 0.250 0.375
Au 0.125 0.250 0.875
Au 0.250 0.625 0.875
Pb 0.125 0.375 0.250
Pb 0.000 0.500 0.000
Pb 0.000 0.000 0.000
Pb 0.375 0.250 0.125
Pb 0.500 0.000 0.500
Pb 0.500 0.500 0.000
Pb 0.125 0.750 0.375
Pb 0.750 0.125 0.875
Pb 0.750 0.625 0.375
Pb 0.375 0.125 0.750
Pb 0.625 0.875 0.250
Pb 0.500 0.500 0.500
Pb 0.500 0.000 0.000
Pb 0.000 0.000 0.500
Pb 0.250 0.375 0.625
Pb 0.250 0.875 0.125
Pb 0.000 0.500 0.500
Pb 0.875 0.250 0.625
Pb 0.625 0.750 0.875
Pb 0.875 0.625 0.750
Ga 0.744 0.139 0.077
Ga 0.333 0.577 0.438
Ga 0.923 0.361 0.256
Ga 0.577 0.244 0.139
Ga 0.605 0.744 0.667
Ga 0.923 0.562 0.167
Ga 0.333 0.756 0.395
Ga 0.062 0.895 0.139
Ga 0.562 0.923 0.667
Ga 0.744 0.605 0.167
Ga 0.756 0.423 0.361
Ga 0.833 0.938 0.077
Ga 0.139 0.744 0.577
Ga 0.361 0.438 0.105
Ga 0.105 0.938 0.361
Ga 0.395 0.139 0.562
Ga 0.105 0.167 0.244
Ga 0.423 0.667 0.062
Ga 0.833 0.895 0.256
Ga 0.139 0.395 0.062
Ga 0.361 0.923 0.756
Ga 0.562 0.639 0.395
Ga 0.938 0.833 0.577
Ga 0.756 0.333 0.895
Ga 0.438 0.361 0.605
Ga 0.062 0.167 0.423
Ga 0.244 0.667 0.105
Ga 0.167 0.105 0.744
Ga 0.639 0.077 0.244
Ga 0.861 0.605 0.938
Ga 0.577 0.333 0.938
Ga 0.605 0.861 0.438
Ga 0.895 0.833 0.756
Ga 0.895 0.062 0.639
Ga 0.861 0.256 0.423
Ga 0.167 0.062 0.923
Ga 0.639 0.562 0.895
Ga 0.438 0.077 0.333
Ga 0.256 0.395 0.833
Ga 0.244 0.577 0.639
Ga 0.938 0.105 0.861
Ga 0.667 0.244 0.605
Ga 0.423 0.756 0.861
Ga 0.077 0.438 0.833
Ga 0.395 0.256 0.333
Ga 0.077 0.639 0.744
Ga 0.667 0.423 0.562
Ga 0.256 0.861 0.923

## Properties
* electronic total energy: -3.13 eV/atom
* DFT formation energy: 0.1013 eV per atom

---

[4]
## CoNiPH2 (PBE)

Data for a relaxed structure of CoNiPH2.

Cell lengths 3.106, 5.161, 3.106 Å; angles 90.00, 90.00, 90.00 degrees
Atoms (fractional coordinates):
Ni 0.000 0.000 0.000
Co 0.000 0.500 0.000
H 0.000 0.000 0.500
H 0.500 0.000 0.000
P 0.500 0.500 0.500

## Properties
* electronic total energy: -4.70 eV/atom
* E above lowest polymorph: 58 meV per atom

---

[5]
## SmEuGe2 (PBE)

Data for a relaxed structure of SmEuGe2.

Cell lengths 3.437, 3.437, 8.317 Å; angles 90.00, 90.00, 90.00 degrees
Atoms (fractional coordinates):
Eu 0.500 0.500 0.000
Ge 0.000 0.000 0.745
Ge 0.000 0.000 0.255
Sm 0.500 0.500 0.500

## Properties
* electronic total energy: -6.65 eV/atom
* DFT formation energy: -0.5957 eV per atom
* E above lowest polymorph: 0 meV per atom

---

[6]
## Pm2UReN6 (PBE)

Data for a relaxed structure of Pm2UReN6.

Cell lengths 5.741, 5.798, 8.110 Å; angles 90.00, 90.98, 90.00 degrees
Atoms (fractional coordinates):
Pm 0.014 0.956 0.248
Pm 0.514 0.544 0.748
Pm 0.986 0.044 0.752
Pm 0.486 0.456 0.252
U 0.500 0.000 0.000
U 0.000 0.500 0.500
Re 0.500 0.000 0.500
Re 0.000 0.500 0.000
N 0.274 0.707 0.051
N 0.774 0.793 0.551
N 0.726 0.293 0.949
N 0.226 0.207 0.449
N 0.295 0.717 0.450
N 0.795 0.783 0.950
N 0.705 0.283 0.550
N 0.205 0.217 0.050
N 0.908 0.521 0.238
N 0.408 0.979 0.738
N 0.092 0.479 0.762
N 0.592 0.021 0.262

## Properties
* electronic total energy: -9.28 eV/atom

---

[7]
## DyZnCuGe2 (PBE)

Data for a relaxed structure of DyZnCuGe2.

Cell lengths 4.059, 4.059, 6.158 Å; angles 109.24, 109.24, 90.00 degrees
Atoms (fractional coordinates):
Dy 0.000 0.000 0.000
Zn 0.750 0.250 0.500
Cu 0.250 0.750 0.500
Ge 0.615 0.615 0.229
Ge 0.385 0.385 0.771

## Properties
* electronic total energy: -4.24 eV/atom
* DFT formation energy: -0.4030 eV per atom

---

[8]
## TlTeIr2I (PBE)

Data for a relaxed structure of TlTeIr2I.

Cell lengths 4.914, 6.153, 4.914 Å; angles 90.00, 90.00, 90.00 degrees
Atoms (fractional coordinates):
I 0.000 0.000 0.000
Tl 0.500 0.500 0.500
Ir 0.000 0.000 0.500
Ir 0.500 0.000 0.000
Te 0.000 0.500 0.000

## Properties
* electronic total energy: -3.48 eV/atom